Record 1
VASP calculation (PBEsol) on a relaxed structure of MgVSi4O10.

Calculated values
magnetic moment	12.0	Bohr magnetons per cell
space group	P4/ncc
crystal system	tetragonal
volume	12.1	Å³ per atom
raw formation energy	-41.20	eV per formula unit

Unit cell a=7.2326 b=7.2326 c=14.8463 alpha=90.00 beta=90.00 gamma=90.00
With the nearest neighbours (Å) after each atom.
Atoms (fractional coordinates):
1 Mg 0.5000 0.5000 0.5000  4 O 2.11
2 Mg 0.0000 0.0000 0.5000  4 O 2.11
3 Mg 0.0000 0.0000 0.0000  4 O 2.11
4 Mg 0.5000 0.5000 0.0000  4 O 2.11
5 V 0.5000 0.0000 0.5709  4 O 2.02
6 V 0.0000 0.5000 0.9291  4 O 2.02
7 V 0.0000 0.5000 0.4291  4 O 2.02
8 V 0.5000 0.0000 0.0709  4 O 2.02
9 Si 0.1623 0.2392 0.6446  4 O 1.62-1.63
10 Si 0.8377 0.7608 0.6446  4 O 1.62-1.63
11 Si 0.2392 0.1623 0.8554  4 O 1.62-1.63
12 Si 0.7392 0.3377 0.6446  4 O 1.62-1.63
13 Si 0.2608 0.6623 0.6446  4 O 1.62-1.63
14 Si 0.3377 0.7392 0.8554  4 O 1.62-1.63
15 Si 0.6623 0.2608 0.8554  4 O 1.62-1.63
16 Si 0.7608 0.8377 0.8554  4 O 1.62-1.63
17 Si 0.3377 0.2608 0.3554  4 O 1.62-1.63
18 Si 0.6623 0.7392 0.3554  4 O 1.62-1.63
19 Si 0.2608 0.3377 0.1446  4 O 1.62-1.63
20 Si 0.7608 0.1623 0.3554  4 O 1.62-1.63
21 Si 0.2392 0.8377 0.3554  4 O 1.62-1.63
22 Si 0.1623 0.7608 0.1446  4 O 1.62-1.63
23 Si 0.8377 0.2392 0.1446  4 O 1.62-1.63
24 Si 0.7392 0.6623 0.1446  4 O 1.62-1.63
25 O 0.2342 0.0850 0.5741  1 Si 1.62
26 O 0.7658 0.9150 0.5741  1 Si 1.62
27 O 0.0850 0.2342 0.9259  1 Si 1.62
28 O 0.5850 0.2658 0.5741  1 Si 1.62
29 O 0.4150 0.7342 0.5741  1 Si 1.62
30 O 0.2658 0.5850 0.9259  1 Si 1.62
31 O 0.7342 0.4150 0.9259  1 Si 1.62
32 O 0.9150 0.7658 0.9259  1 Si 1.62
33 O 0.2658 0.4150 0.4259  1 Si 1.62
34 O 0.7342 0.5850 0.4259  1 Si 1.62
35 O 0.4150 0.2658 0.0741  1 Si 1.62
36 O 0.9150 0.2342 0.4259  1 Si 1.62
37 O 0.0850 0.7658 0.4259  1 Si 1.62
38 O 0.2342 0.9150 0.0741  1 Si 1.62
39 O 0.7658 0.0850 0.0741  1 Si 1.62
40 O 0.2471 0.0593 0.3758  2 Si 1.63
41 O 0.5850 0.7342 0.0741  1 Si 1.62
42 O 0.7471 0.5593 0.6242  2 Si 1.63
43 O 0.4407 0.2529 0.8758  2 Si 1.63
44 O 0.9407 0.2471 0.6242  2 Si 1.63
45 O 0.0593 0.7529 0.6242  2 Si 1.63
46 O 0.2471 0.9407 0.8758  2 Si 1.63
47 O 0.7529 0.0593 0.8758  2 Si 1.63
48 O 0.5593 0.7471 0.8758  2 Si 1.63
49 O 0.6912 0.6912 0.2500  2 Si 1.62
50 O 0.8088 0.1912 0.2500  2 Si 1.62
51 O 0.1912 0.8088 0.2500  2 Si 1.62
52 O 0.3088 0.3088 0.2500  2 Si 1.62
53 O 0.8088 0.8088 0.7500  2 Si 1.62
54 O 0.6912 0.3088 0.7500  2 Si 1.62
55 O 0.3088 0.6912 0.7500  2 Si 1.62
56 O 0.1912 0.1912 0.7500  2 Si 1.62
57 O 0.9407 0.7529 0.1242  2 Si 1.63
58 O 0.7471 0.4407 0.1242  2 Si 1.63
59 O 0.2529 0.5593 0.1242  2 Si 1.63
60 O 0.4407 0.7471 0.3758  2 Si 1.63
61 O 0.5593 0.2529 0.3758  2 Si 1.63
62 O 0.0593 0.2471 0.1242  2 Si 1.63
63 O 0.7529 0.9407 0.3758  2 Si 1.63
64 O 0.2529 0.4407 0.6242  2 Si 1.63


Record 2
VASP calculation (PBEsol) on a relaxed structure of Sm2Mo4O15.

Calculated values
magnetic moment	0.0	Bohr magnetons per cell
space group	P-1
crystal system	triclinic
volume	15.2	Å³ per atom
raw formation energy	-50.91	eV per formula unit

Unit cell a=9.3343 b=10.9416 c=11.4829 alpha=104.61 beta=109.31 gamma=108.76
With the nearest neighbours (Å) after each atom.
Atoms (fractional coordinates):
1 Sm 0.3352 0.6601 0.7976  8 O 2.33-2.47
2 Sm 0.6648 0.3399 0.2024  8 O 2.33-2.47
3 Sm 0.2348 0.2226 0.1752  8 O 2.32-2.54
4 Sm 0.7652 0.7774 0.8248  8 O 2.32-2.54
5 Sm 0.7862 0.9437 0.4101  7 O 2.29-2.49
6 Sm 0.2138 0.0563 0.5899  7 O 2.29-2.49
7 Mo 0.4772 0.5634 0.1328  4 O 1.74-1.87
8 Mo 0.5228 0.4366 0.8672  4 O 1.74-1.87
9 Mo 0.2669 0.9827 0.9200  4 O 1.75-1.79
10 Mo 0.7331 0.0173 0.0800  4 O 1.75-1.79
11 Mo 0.0898 0.5328 0.1816  3 O 1.72-1.86
12 Mo 0.9102 0.4672 0.8184  3 O 1.72-1.86
13 Mo 0.0843 0.3104 0.4470  4 O 1.74-1.80
14 Mo 0.9157 0.6896 0.5530  4 O 1.74-1.80
15 Mo 0.9349 0.1317 0.7972  4 O 1.75-1.78
16 Mo 0.0651 0.8683 0.2028  4 O 1.75-1.78
17 Mo 0.4170 0.7779 0.5195  4 O 1.74-1.79
18 Mo 0.5830 0.2221 0.4805  4 O 1.74-1.79
19 O 0.4539 0.4271 0.1989  1 Mo 1.82
20 O 0.5461 0.5729 0.8011  1 Mo 1.82
21 O 0.3231 0.6063 0.1606  1 Mo 1.75
22 O 0.6769 0.3937 0.8394  1 Mo 1.75
23 O 0.3851 0.1443 0.0672  1 Mo 1.79
24 O 0.6149 0.8557 0.9328  1 Mo 1.79
25 O 0.0542 0.9212 0.8896  1 Mo 1.75
26 O 0.9458 0.0788 0.1104  1 Mo 1.75
27 O 0.3353 0.8554 0.9450  1 Mo 1.76
28 O 0.6647 0.1446 0.0550  1 Mo 1.76
29 O 0.4183 0.5602 0.9591  1 Mo 1.87
30 O 0.5817 0.4398 0.0409  1 Mo 1.87
31 O 0.0946 0.5055 0.8020  1 Mo 1.72
32 O 0.9054 0.4945 0.1980  1 Mo 1.72
33 O 0.1871 0.4639 0.5935  1 Mo 1.74
34 O 0.1110 0.3800 0.1678  1 Mo 1.72
35 O 0.2256 0.3081 0.3774  1 Mo 1.76
36 O 0.8890 0.6200 0.8322  1 Mo 1.72
37 O 0.4138 0.1625 0.5188  1 Mo 1.75
38 O 0.5862 0.8375 0.4812  1 Mo 1.75
39 O 0.3344 0.2875 0.7520  1 Mo 1.74
40 O 0.6656 0.7125 0.2480  1 Mo 1.74
41 O 0.2878 0.0171 0.7836  1 Mo 1.76
42 O 0.7122 0.9829 0.2164  1 Mo 1.76
43 O 0.9661 0.8413 0.5123  1 Mo 1.80
44 O 0.0339 0.1587 0.4877  1 Mo 1.80
45 O 0.0270 0.9330 0.3422  1 Mo 1.78
46 O 0.9730 0.0670 0.6578  1 Mo 1.78
47 O 0.6574 0.0961 0.4503  1 Mo 1.74
48 O 0.3426 0.9039 0.5497  1 Mo 1.74
49 O 0.5254 0.2661 0.3388  1 Mo 1.77
50 O 0.4746 0.7339 0.6612  1 Mo 1.77
51 O 0.7520 0.3790 0.6209  2 Mo 1.79-2.01
52 O 0.2480 0.6210 0.3791  2 Mo 1.79-2.01
53 O 0.0000 0.5000 0.0000  2 Mo 1.86
54 O 0.2190 0.0097 0.2010  1 Mo 1.75
55 O 0.7810 0.9903 0.7990  1 Mo 1.75
56 O 0.1462 0.7441 0.2233  1 Mo 1.78
57 O 0.8538 0.2559 0.7767  1 Mo 1.78
58 O 0.8800 0.7883 0.0512  1 Mo 1.75
59 O 0.1200 0.2117 0.9488  1 Mo 1.75
60 O 0.1046 0.7003 0.6662  1 Mo 1.76
61 O 0.8954 0.2997 0.3338  1 Mo 1.76
62 O 0.7744 0.6919 0.6226  1 Mo 1.76
63 O 0.8129 0.5361 0.4065  1 Mo 1.74


Record 3
VASP calculation (PBEsol) on a relaxed structure of TlTcH2.

Calculated values
magnetic moment	0.0	Bohr magnetons per cell
calculated total energy	-37.83	eV for the cell shown
space group	I-42d
crystal system	tetragonal
volume	11.1	Å³ per atom

Unit cell a=4.8739 b=4.8739 c=4.8739 alpha=109.04 beta=109.04 gamma=110.34
With the nearest neighbours (Å) after each atom.
Atoms (fractional coordinates):
1 H 0.7681 0.8750 0.3931  2 Tc 1.77
2 H 0.4819 0.3750 0.6069  2 Tc 1.77
3 H 0.1250 0.5181 0.8931  2 Tc 1.77
4 H 0.6250 0.2319 0.1069  2 Tc 1.77
5 Tl 0.0000 0.0000 0.0000  8 H 2.56-2.65, 2 Tc 2.78
6 Tl 0.2500 0.7500 0.5000  8 H 2.56-2.65, 2 Tc 2.78
7 Tc 0.5000 0.5000 0.0000  4 H 1.77
8 Tc 0.7500 0.2500 0.5000  4 H 1.77


Record 4
VASP calculation (PBEsol) on a relaxed structure of YTi3Mn.

Calculated values
magnetic moment	2.3	Bohr magnetons per cell
calculated total energy	-33.18	eV for the cell shown
space group	Pm-3m
crystal system	cubic
volume	20.7	Å³ per atom

Unit cell a=4.6987 b=4.6987 c=4.6987 alpha=90.00 beta=90.00 gamma=90.00
With the nearest neighbours (Å) after each atom.
Atoms (fractional coordinates):
1 Y 0.0000 0.0000 0.0000  6 Ti 2.35
2 Mn 0.5000 0.5000 0.5000  12 Ti 3.32
3 Ti 0.0000 0.5000 0.0000  2 Y 2.35
4 Ti 0.0000 0.0000 0.5000  2 Y 2.35
5 Ti 0.5000 0.0000 0.0000  2 Y 2.35


Record 5
VASP calculation (PBEsol) on a relaxed structure of KPH3NO3.

Calculated values
magnetic moment	0.0	Bohr magnetons per cell
calculated total energy	-218.19	eV for the cell shown
space group	P2_1/c
crystal system	monoclinic
volume	11.8	Å³ per atom

Unit cell a=6.0743 b=6.8534 c=11.8014 alpha=90.00 beta=120.27 gamma=90.00
With the nearest neighbours (Å) after each atom.
Atoms (fractional coordinates):
1 H 0.5181 0.1664 0.3220  1 N 1.07
2 H 0.4819 0.6664 0.1780  1 N 1.07
3 H 0.4819 0.8336 0.6780  1 N 1.07
4 H 0.5181 0.3336 0.8220  1 N 1.07
5 H 0.6428 0.1517 0.4895  1 N 1.07
6 H 0.3572 0.6517 0.0105  1 N 1.07
7 H 0.3572 0.8483 0.5105  1 N 1.07
8 H 0.6428 0.3483 0.9895  1 N 1.07
9 H 0.8463 0.1512 0.4263  1 N 1.07
10 H 0.1537 0.6512 0.0737  1 N 1.07
11 H 0.1537 0.8488 0.5737  1 N 1.07
12 H 0.8463 0.3488 0.9263  1 N 1.07
13 K 0.9602 0.4892 0.7090  6 O 2.67-2.82
14 K 0.0398 0.9892 0.7910  6 O 2.67-2.82
15 K 0.0398 0.5108 0.2910  6 O 2.67-2.82
16 K 0.9602 0.0108 0.2090  6 O 2.67-2.82
17 N 0.6656 0.1022 0.4103  3 H 1.07
18 N 0.3344 0.6022 0.0897  3 H 1.07
19 N 0.3344 0.8978 0.5897  3 H 1.07
20 N 0.6656 0.3978 0.9103  3 H 1.07
21 O 0.7189 0.7820 0.3050  1 P 1.52, 1 H 1.66
22 O 0.2811 0.2820 0.1950  1 P 1.52, 1 H 1.66
23 O 0.2811 0.2180 0.6950  1 P 1.52, 1 H 1.66
24 O 0.7189 0.7180 0.8050  1 P 1.52, 1 H 1.66
25 O 0.3901 0.7945 0.3807  1 P 1.52, 1 H 1.68
26 O 0.6099 0.2945 0.1193  1 P 1.52, 1 H 1.68
27 O 0.6099 0.2055 0.6193  1 P 1.52, 1 H 1.68
28 O 0.3901 0.7055 0.8807  1 P 1.52, 1 H 1.68
29 O 0.8682 0.7934 0.5503  1 P 1.53, 1 H 1.66
30 O 0.1318 0.2934 0.9497  1 P 1.53, 1 H 1.66
31 O 0.1318 0.2066 0.4497  1 P 1.53, 1 H 1.66
32 O 0.8682 0.7066 0.0503  1 P 1.53, 1 H 1.66
33 P 0.6593 0.8428 0.4108  3 O 1.52-1.53
34 P 0.3407 0.3428 0.0892  3 O 1.52-1.53
35 P 0.3407 0.1572 0.5892  3 O 1.52-1.53
36 P 0.6593 0.6572 0.9108  3 O 1.52-1.53


Record 6
VASP calculation (PBEsol) on a relaxed structure of ZnReMo.

Calculated values
magnetic moment	0.0	Bohr magnetons per cell
calculated total energy	-24.33	eV for the cell shown
space group	F-43m
crystal system	cubic
volume	17.3	Å³ per atom

Unit cell a=4.1883 b=4.1883 c=4.1883 alpha=60.00 beta=60.00 gamma=60.00
With the nearest neighbours (Å) after each atom.
Atoms (fractional coordinates):
1 Mo 0.5000 0.5000 0.5000  4 Re 2.56
2 Re 0.2500 0.2500 0.2500  4 Mo 2.56, 4 Zn 2.56
3 Zn 0.0000 0.0000 0.0000  4 Re 2.56


Record 7
VASP calculation (PBEsol) on a relaxed structure of Cs2BrCl.

Calculated values
magnetic moment	0.0	Bohr magnetons per cell
space group	P4/mmm
crystal system	tetragonal
volume	36.0	Å³ per atom
raw formation energy	-7.40	eV per formula unit

Unit cell a=4.1560 b=5.8825 c=5.8825 alpha=90.00 beta=90.00 gamma=90.00
With the nearest neighbours (Å) after each atom.
Atoms (fractional coordinates):
1 Cs 0.0000 0.5000 0.0000  4 Cl 3.60, 4 Br 3.60
2 Cs 0.0000 0.0000 0.5000  4 Cl 3.60, 4 Br 3.60
3 Br 0.5000 0.0000 0.0000  8 Cs 3.60
4 Cl 0.5000 0.5000 0.5000  8 Cs 3.60


Record 8
VASP calculation (PBEsol) on a relaxed structure of Ag3Pb.

Calculated values
magnetic moment	0.0	Bohr magnetons per cell
calculated total energy	-13.64	eV for the cell shown
space group	P4/mmm
crystal system	tetragonal
volume	19.5	Å³ per atom

Unit cell a=3.3540 b=3.3540 c=6.9312 alpha=90.00 beta=90.00 gamma=90.00
With the nearest neighbours (Å) after each atom.
Atoms (fractional coordinates):
1 Pb 0.5000 0.5000 0.0000  8 Ag 3.09, 4 Pb 3.35
2 Ag 0.0000 0.0000 0.7140  5 Ag 2.80-2.97, 4 Pb 3.09
3 Ag 0.5000 0.5000 0.5000  8 Ag 2.80
4 Ag 0.0000 0.0000 0.2860  5 Ag 2.80-2.97, 4 Pb 3.09


Record 9
VASP calculation (PBEsol) on a relaxed structure of Li4Cr3Cu2Sb3O16.

Calculated values
magnetic moment	7.0	Bohr magnetons per cell
space group	Cm
crystal system	monoclinic
volume	10.7	Å³ per atom
raw formation energy	-44.29	eV per formula unit

Unit cell a=5.9747 b=5.9747 c=9.8498 alpha=99.25 beta=99.25 gamma=60.29
With the nearest neighbours (Å) after each atom.
Atoms (fractional coordinates):
1 Li 0.3698 0.3698 0.9066  3 O 1.94-2.13
2 Li 0.9078 0.9078 0.9746  3 O 1.93-2.11
3 Li 0.9811 0.9811 0.4884  3 O 1.77-1.93
4 Li 0.6719 0.6719 0.3816  3 O 1.91-2.01
5 Cr 0.6449 0.1545 0.2152  6 O 1.88-2.01
6 Cr 0.1545 0.6449 0.2152  6 O 1.88-2.01
7 Cr 0.8572 0.8572 0.7072  6 O 1.96-2.02
8 Cu 0.3456 0.3456 0.4872  4 O 2.06-2.10
9 Cu 0.6293 0.6293 0.0510  3 O 1.87-2.00
10 Sb 0.1491 0.1491 0.2079  6 O 2.01-2.03
11 Sb 0.8603 0.3634 0.7217  6 O 1.96-2.07
12 Sb 0.3634 0.8603 0.7217  6 O 1.96-2.07
13 O 0.6967 0.1684 0.6022  1 Li 1.93, 1 Cr 1.99, 1 Sb 2.00, 1 Cu 2.06
14 O 0.4864 0.4864 0.3113  2 Cr 1.88, 1 Li 1.91
15 O 0.3000 0.3000 0.1028  2 Cr 2.01, 1 Sb 2.02, 1 Li 2.19
16 O 0.0005 0.0005 0.3141  1 Li 1.77
17 O 0.0384 0.0384 0.8265  1 Cr 2.02, 2 Sb 2.05, 1 Li 2.16
18 O 0.1684 0.6967 0.6022  1 Li 1.93, 1 Cr 1.99, 1 Sb 2.00, 1 Cu 2.06
19 O 0.4853 0.0392 0.3310  1 Cr 1.98, 1 Li 2.01, 1 Sb 2.03, 1 Cu 2.10
20 O 0.0392 0.4853 0.3310  1 Cr 1.98, 1 Li 2.01, 1 Sb 2.03, 1 Cu 2.10
21 O 0.8103 0.8103 0.1237  1 Cu 1.87, 2 Cr 1.92, 1 Li 1.93
22 O 0.1609 0.1609 0.6060  1 Li 2.00, 2 Sb 2.01
23 O 0.0199 0.5677 0.8225  1 Li 1.94, 1 Cr 1.96, 1 Sb 1.96
24 O 0.5677 0.0199 0.8225  1 Li 1.94, 1 Cr 1.96, 1 Sb 1.96
25 O 0.6738 0.6738 0.6030  1 Cr 1.98, 2 Sb 2.07, 1 Li 2.18
26 O 0.8017 0.2633 0.0978  1 Cr 1.96, 1 Cu 2.00, 1 Sb 2.02, 1 Li 2.11
27 O 0.5527 0.5527 0.8353  2 Sb 2.03, 1 Cu 2.13, 1 Li 2.13
28 O 0.2633 0.8017 0.0978  1 Cr 1.96, 1 Cu 2.00, 1 Sb 2.02, 1 Li 2.11


Record 10
VASP calculation (PBEsol) on a relaxed structure of Al2FeRe.

Calculated values
magnetic moment	0.0	Bohr magnetons per cell
calculated total energy	-31.18	eV for the cell shown
space group	Imm2
crystal system	orthorhombic
volume	13.1	Å³ per atom

Unit cell a=2.8661 b=4.1618 c=5.0564 alpha=114.30 beta=106.46 gamma=90.00
With the nearest neighbours (Å) after each atom.
Atoms (fractional coordinates):
1 Re 0.2326 0.7326 0.4653  2 Fe 2.48, 6 Al 2.55-2.70
2 Fe 0.5012 0.5012 0.0025  6 Al 2.46-2.53, 2 Re 2.48
3 Al 0.9934 0.9934 0.9868  4 Fe 2.53, 2 Re 2.70
4 Al 0.7727 0.2727 0.5455  2 Fe 2.46, 4 Re 2.55


Record 11
VASP calculation (PBEsol) on a relaxed structure of MnTc2Br.

Calculated values
magnetic moment	3.7	Bohr magnetons per cell
space group	R3m
crystal system	trigonal
volume	15.2	Å³ per atom
raw formation energy	1.88	eV per formula unit

Unit cell a=2.9108 b=2.9108 c=8.4456 alpha=80.08 beta=80.08 gamma=60.00
With the nearest neighbours (Å) after each atom.
Atoms (fractional coordinates):
1 Br 0.5035 0.5035 0.4894  3 Mn 2.61, 3 Tc 2.82, 6 Br 2.91
2 Mn 0.2506 0.2506 0.2481  3 Br 2.61, 3 Tc 2.66, 6 Mn 2.91
3 Tc 0.0002 0.0002 0.9995  3 Tc 2.58, 3 Mn 2.66
4 Tc 0.7456 0.7456 0.7631  3 Tc 2.58, 3 Br 2.82


Record 12
VASP calculation (PBEsol) on a relaxed structure of CsLiBeF4.

Calculated values
magnetic moment	0.4	Bohr magnetons per cell
space group	P2_1/c
crystal system	monoclinic
volume	15.4	Å³ per atom
raw formation energy	-21.84	eV per formula unit

Unit cell a=5.3372 b=8.8049 c=9.1749 alpha=90.00 beta=89.72 gamma=90.00
With the nearest neighbours (Å) after each atom.
Atoms (fractional coordinates):
1 Cs 0.2547 0.4973 0.7686  9 F 2.96-3.28
2 Cs 0.2453 0.9973 0.7314  9 F 2.96-3.28
3 Cs 0.7453 0.5027 0.2314  9 F 2.96-3.28
4 Cs 0.7547 0.0027 0.2686  9 F 2.96-3.28
5 Li 0.7448 0.1872 0.9171  4 F 1.84-1.85
6 Li 0.7552 0.6872 0.5829  4 F 1.84-1.85
7 Li 0.2552 0.8128 0.0829  4 F 1.84-1.85
8 Li 0.2448 0.3128 0.4171  4 F 1.84-1.85
9 Be 0.2467 0.1990 0.0830  4 F 1.56
10 Be 0.2533 0.6990 0.4170  4 F 1.56
11 Be 0.7533 0.8010 0.9170  4 F 1.56
12 Be 0.7467 0.3010 0.5830  4 F 1.56
13 F 0.1472 0.2567 0.2331  1 Be 1.56
14 F 0.3528 0.7567 0.2669  1 Be 1.56
15 F 0.8528 0.7433 0.7669  1 Be 1.56
16 F 0.6472 0.2433 0.7331  1 Be 1.56
17 F 0.2536 0.0221 0.0877  1 Be 1.56
18 F 0.2464 0.5221 0.4123  1 Be 1.56
19 F 0.7464 0.9779 0.9123  1 Be 1.56
20 F 0.7536 0.4779 0.5877  1 Be 1.56
21 F 0.0651 0.2525 0.9601  1 Be 1.56
22 F 0.4349 0.7525 0.5399  1 Be 1.56
23 F 0.9349 0.7475 0.0399  1 Be 1.56
24 F 0.5651 0.2475 0.4601  1 Be 1.56
25 F 0.5157 0.2609 0.0522  1 Be 1.56
26 F 0.9843 0.7609 0.4478  1 Be 1.56
27 F 0.4843 0.7391 0.9478  1 Be 1.56
28 F 0.0157 0.2391 0.5522  1 Be 1.56